Compound: RbSrSb
Source: the Alexandria database
Functional: SCAN
Structure: PBEsol geometry

Properties
Uncorrected energy: -27.655 eV per atom

Cell and atoms, written as POSCAR:
```
RbSrSb
1.0
-3.379 2.633 3.400
-7.277 -3.894 -4.216
0.406 -7.399 6.133
Rb Sr Sb
4 4 4
Direct
0.250 0.013 0.671
0.750 0.487 0.171
0.750 0.987 0.329
0.250 0.513 0.829
0.250 0.648 0.421
0.750 0.852 0.921
0.250 0.148 0.079
0.750 0.352 0.579
0.750 0.208 0.894
0.750 0.708 0.606
0.250 0.792 0.106
0.250 0.292 0.394
```

---

Compound: SiTcPb2W
Source: the Alexandria database
Functional: SCAN
Structure: PBEsol geometry

Properties
Uncorrected energy: -51.883 eV per atom

Cell and atoms, written as POSCAR:
```
SiTcPb2W
1.0
4.675 0.000 0.000
0.000 5.310 0.000
0.000 0.000 5.310
Pb W Si Tc
2 1 1 1
Direct
0.000 0.000 0.500
0.000 0.500 0.000
0.000 0.000 0.000
0.500 0.000 0.000
0.500 0.500 0.500
```

---

Compound: KInPb2
Source: the Alexandria database
Functional: SCAN
Structure: PBEsol geometry

Properties
ΔE_f: -0.155 eV per atom

Cell and atoms, written as POSCAR:
```
KInPb2
1.0
4.037 0.000 0.000
0.000 4.037 0.000
0.000 0.000 7.947
K In Pb
1 1 2
Direct
0.500 0.500 0.745
0.000 0.000 0.451
0.000 0.000 0.051
0.500 0.500 0.253
```

---

Compound: TeSe
Source: the Alexandria database
Functional: SCAN
Structure: PBEsol geometry

Properties
Uncorrected energy: -28.502 eV per atom

Cell and atoms, written as POSCAR:
```
TeSe
1.0
-1.590 -0.795 3.433
-1.194 -1.874 -3.163
5.429 -5.536 1.231
Se Te
2 2
Direct
0.000 0.000 0.000
0.000 0.000 0.500
0.333 0.667 0.250
0.667 0.333 0.750
```

---

Compound: Fe2AgMo
Source: the Alexandria database
Functional: SCAN
Structure: PBEsol geometry

Properties
ΔE_f: 0.500 eV per atom
Energy above the lowest structure with this stoichiometry: 0.96 eV per formula unit

Cell and atoms, written as POSCAR:
```
Fe2AgMo
1.0
-0.543 3.502 2.195
-3.797 1.689 0.324
-2.029 -0.115 3.640
Fe Ag Mo
2 1 1
Direct
0.750 0.750 0.750
0.250 0.250 0.250
0.500 0.500 0.500
0.000 0.000 0.000
```

---

Compound: Li2ZrCl
Source: the Alexandria database
Functional: SCAN
Structure: PBEsol geometry

Properties
Energy above the lowest structure with this stoichiometry: 0.00 eV per formula unit

Cell and atoms, written as POSCAR:
```
Li2ZrCl
1.0
3.109 0.000 0.000
0.000 3.201 0.000
-1.555 0.000 6.944
Zr Li Cl
1 2 1
Direct
0.682 0.000 0.364
0.330 0.500 0.659
0.958 0.000 0.917
0.526 0.500 0.053
```

---

Number 2 is which compound?
SiTcPb2W

---

Copy entry 4 word for word.
Compound: TeSe
Source: the Alexandria database
Functional: SCAN
Structure: PBEsol geometry

Properties
Uncorrected energy: -28.502 eV per atom

Cell and atoms, written as POSCAR:
```
TeSe
1.0
-1.590 -0.795 3.433
-1.194 -1.874 -3.163
5.429 -5.536 1.231
Se Te
2 2
Direct
0.000 0.000 0.000
0.000 0.000 0.500
0.333 0.667 0.250
0.667 0.333 0.750
```

---

What is the formula in the third record?
KInPb2